Record 1
! Sm8HgSb2 (GGA-PBE, optimized geometry); values from VASP
! - N(E_F): 1.230 states/eV/atom
! - Space-group type: C2/m (12)
! - Formation energy from raw total energies: -0.43 eV per atom
&SYSTEM
  ibrav = 0, nat = 11, ntyp = 3
/
ATOMIC_SPECIES
Sm 150.36 Sm.upf
Hg 200.59 Hg.upf
Sb 121.76 Sb.upf
CELL_PARAMETERS angstrom
9.714 -2.498 0.000
9.714 2.498 0.000
-1.266 0.000 7.091
ATOMIC_POSITIONS angstrom
Sm -0.037 0.000 1.856
Sm 3.111 0.000 5.996
Sm 5.980 0.000 3.395
Sm 7.868 0.000 0.070
Sm 10.294 0.000 7.021
Sm 12.183 0.000 3.697
Sm 15.051 0.000 1.095
Sm 18.199 0.000 5.235
Hg 9.081 0.000 3.546
Sb 3.171 0.000 1.892
Sb 14.991 0.000 5.200

***

Record 2
! PrCdF (GGA-PBE, optimized geometry); values from VASP
! - N(E_F): 0.472 states/eV/atom
! - Space-group type: Amm2 (38)
! - Formation energy from raw total energies: -1.52 eV per atom
&SYSTEM
  ibrav = 0, nat = 6, ntyp = 3
/
ATOMIC_SPECIES
Pr 140.91 Pr.upf
Cd 112.41 Cd.upf
F 19.00 F.upf
CELL_PARAMETERS angstrom
14.297 0.000 0.000
0.000 1.841 3.196
0.000 -1.841 3.196
ATOMIC_POSITIONS angstrom
Pr 2.584 0.000 0.000
Pr 11.714 0.000 0.000
Cd 0.000 0.000 2.127
Cd 7.149 0.000 0.647
F 3.888 0.000 2.129
F 10.409 0.000 2.129

***

Record 3
! LaTmMgRh (GGA-PBE, optimized geometry); values from VASP
! - Energy of formation: -356 meV/atom
! - N(E_F): 0.414 states/eV/atom
! - Space-group type: F-43m (216)
&SYSTEM
  ibrav = 0, nat = 4, ntyp = 4
/
ATOMIC_SPECIES
La 138.91 La.upf
Tm 168.93 Tm.upf
Mg 24.30 Mg.upf
Rh 102.91 Rh.upf
CELL_PARAMETERS angstrom
0.000 3.643 3.643
3.643 0.000 3.643
3.643 3.643 0.000
ATOMIC_POSITIONS angstrom
La 0.000 0.000 0.000
Tm 3.643 3.643 3.643
Mg 1.821 1.821 1.821
Rh 5.464 5.464 5.464

***

Record 4
! Sr2InMo (GGA-PBE, optimized geometry); values from VASP
! - Energy of formation: 474 meV/atom
! - N(E_F): 0.870 states/eV/atom
! - Space-group type: Amm2 (38)
&SYSTEM
  ibrav = 0, nat = 4, ntyp = 3
/
ATOMIC_SPECIES
Sr 87.62 Sr.upf
In 114.82 In.upf
Mo 95.94 Mo.upf
CELL_PARAMETERS angstrom
4.939 0.000 0.000
0.000 2.054 6.515
0.000 -2.054 6.515
ATOMIC_POSITIONS angstrom
Sr 0.000 0.000 0.000
Sr 2.470 0.000 3.951
In 2.470 0.000 7.764
Mo 0.000 0.000 9.172

***

Record 5
! LiCaDy2Pd4 (GGA-PBE, optimized geometry); values from VASP
! - Energy of formation: -724 meV/atom
! - N(E_F): 0.421 states/eV/atom
! - Space-group type: R-3m (166)
&SYSTEM
  ibrav = 0, nat = 8, ntyp = 4
/
ATOMIC_SPECIES
Li 6.94 Li.upf
Ca 40.08 Ca.upf
Dy 162.50 Dy.upf
Pd 106.42 Pd.upf
CELL_PARAMETERS angstrom
2.421 1.397 7.926
-2.421 1.397 7.926
0.000 -2.795 7.926
ATOMIC_POSITIONS angstrom
Li 0.000 0.000 0.000
Ca 0.000 0.000 11.890
Dy 0.000 0.000 6.081
Dy 0.000 0.000 17.698
Pd 0.000 0.000 2.844
Pd 0.000 0.000 8.914
Pd 0.000 0.000 14.866
Pd 0.000 0.000 20.936

***

Record 6
! NaPmSeS (GGA-PBE, optimized geometry); values from VASP
! - Distance to the lowest polymorph of the same formula: 272 meV per atom
! - Space-group type: F-43m (216)
! - Formation energy from raw total energies: -1.47 eV per atom
&SYSTEM
  ibrav = 0, nat = 4, ntyp = 4
/
ATOMIC_SPECIES
Na 22.99 Na.upf
Pm 145.00 Pm.upf
Se 78.96 Se.upf
S 32.06 S.upf
CELL_PARAMETERS angstrom
0.000 3.543 3.543
3.543 0.000 3.543
3.543 3.543 0.000
ATOMIC_POSITIONS angstrom
Na 0.000 0.000 0.000
Pm 3.543 3.543 3.543
Se 1.772 1.772 1.772
S 5.315 5.315 5.315

***

Record 7
! Mg2Sb (GGA-PBE, optimized geometry); values from VASP
! - N(E_F): 0.658 states/eV/atom
! - Space-group type: Fm-3m (225)
! - Formation energy from raw total energies: -0.15 eV per atom
&SYSTEM
  ibrav = 0, nat = 3, ntyp = 2
/
ATOMIC_SPECIES
Mg 24.30 Mg.upf
Sb 121.76 Sb.upf
CELL_PARAMETERS angstrom
0.000 3.478 3.478
3.478 0.000 3.478
3.478 3.478 0.000
ATOMIC_POSITIONS angstrom
Mg 1.739 1.739 1.739
Mg 5.217 5.217 5.217
Sb 0.000 0.000 0.000

***

Record 8
! Pr3Dy2Te5 (GGA-PBE, optimized geometry); values from VASP
! - N(E_F): 0.466 states/eV/atom
! - Space-group type: C2/m (12)
! - Formation energy from raw total energies: -1.38 eV per atom
&SYSTEM
  ibrav = 0, nat = 10, ntyp = 3
/
ATOMIC_SPECIES
Pr 140.91 Pr.upf
Dy 162.50 Dy.upf
Te 127.60 Te.upf
CELL_PARAMETERS angstrom
7.403 -2.220 0.000
7.403 2.220 0.000
-5.467 0.000 9.543
ATOMIC_POSITIONS angstrom
Pr 0.000 0.000 0.000
Pr -1.311 0.000 7.689
Pr 10.649 0.000 1.854
Dy 2.706 0.000 5.709
Dy 6.632 0.000 3.834
Te -2.734 0.000 4.772
Te 1.212 0.000 2.993
Te 5.380 0.000 1.064
Te 3.959 0.000 8.479
Te 8.126 0.000 6.550

***

Record 9
! Na2ZnSiOs (GGA-PBE, optimized geometry); values from VASP
! - N(E_F): 0.536 states/eV/atom
! - Space-group type: P4/mmm (123)
! - Formation energy from raw total energies: 0.79 eV per atom
&SYSTEM
  ibrav = 0, nat = 5, ntyp = 4
/
ATOMIC_SPECIES
Na 22.99 Na.upf
Zn 65.41 Zn.upf
Si 28.09 Si.upf
Os 190.23 Os.upf
CELL_PARAMETERS angstrom
5.501 0.000 0.000
0.000 5.501 0.000
0.000 0.000 4.476
ATOMIC_POSITIONS angstrom
Na 0.000 2.750 0.000
Na 2.750 0.000 0.000
Zn 0.000 0.000 2.238
Si 2.750 2.750 0.000
Os 2.750 2.750 2.238

***

Record 10
! Nd6Sn2TeSe3 (GGA-PBE, optimized geometry); values from VASP
! - N(E_F): 0.410 states/eV/atom
! - Space-group type: C2/m (12)
! - Formation energy from raw total energies: -1.42 eV per atom
&SYSTEM
  ibrav = 0, nat = 12, ntyp = 4
/
ATOMIC_SPECIES
Nd 144.24 Nd.upf
Sn 118.71 Sn.upf
Te 127.60 Te.upf
Se 78.96 Se.upf
CELL_PARAMETERS angstrom
9.545 -2.194 0.000
9.545 2.194 0.000
-1.953 0.000 8.570
ATOMIC_POSITIONS angstrom
Nd 18.631 0.000 2.007
Nd -1.493 0.000 6.563
Nd 5.467 0.000 3.568
Nd 4.623 0.000 7.810
Nd 12.515 0.000 0.760
Nd 11.671 0.000 5.003
Sn 1.555 0.000 7.144
Sn 15.583 0.000 1.426
Te 8.569 0.000 4.285
Se 2.497 0.000 2.874
Se 9.545 0.000 0.000
Se 14.641 0.000 5.696

***

Record 11
! CaCeIr (GGA-PBE, optimized geometry); values from VASP
! - Energy of formation: -424 meV/atom
! - Distance to the lowest polymorph of the same formula: 0 meV per atom
! - N(E_F): 1.720 states/eV/atom
! - Space-group type: R-3m (166)
&SYSTEM
  ibrav = 0, nat = 6, ntyp = 3
/
ATOMIC_SPECIES
Ca 40.08 Ca.upf
Ce 140.12 Ce.upf
Ir 192.22 Ir.upf
CELL_PARAMETERS angstrom
2.362 1.364 7.826
-2.362 1.364 7.826
0.000 -2.727 7.826
ATOMIC_POSITIONS angstrom
Ca 0.000 0.000 4.861
Ca 0.000 0.000 18.616
Ce 0.000 0.000 8.560
Ce 0.000 0.000 14.917
Ir 0.000 0.000 1.416
Ir 0.000 0.000 22.061

***

Record 12
! TbMgZr2 (GGA-PBE, optimized geometry); values from VASP
! - Energy of formation: 327 meV/atom
! - Distance to the lowest polymorph of the same formula: 235 meV per atom
! - N(E_F): 1.311 states/eV/atom
! - Space-group type: R-3m (166)
&SYSTEM
  ibrav = 0, nat = 4, ntyp = 3
/
ATOMIC_SPECIES
Tb 158.93 Tb.upf
Mg 24.30 Mg.upf
Zr 91.22 Zr.upf
CELL_PARAMETERS angstrom
1.605 0.927 11.600
-1.605 0.927 11.600
0.000 -1.853 11.600
ATOMIC_POSITIONS angstrom
Tb 0.000 0.000 0.000
Mg 0.000 0.000 17.400
Zr 0.000 0.000 14.366
Zr 0.000 0.000 20.434

***

Record 13
! ScTeHI (GGA-PBE, optimized geometry); values from VASP
! - N(E_F): 0.296 states/eV/atom
! - Space-group type: Cm (8)
! - Final energy: -17.3 eV/cell
&SYSTEM
  ibrav = 0, nat = 4, ntyp = 4
/
ATOMIC_SPECIES
Sc 44.96 Sc.upf
Te 127.60 Te.upf
H 1.01 H.upf
I 126.90 I.upf
CELL_PARAMETERS angstrom
3.101 -1.842 0.000
3.101 1.842 0.000
-2.096 0.000 8.317
ATOMIC_POSITIONS angstrom
Sc 0.000 0.000 0.000
Te -0.020 0.000 6.032
H 2.038 0.000 8.267
I 2.068 0.000 2.060

***

Record 14
! NaV3Bi (GGA-PBE, optimized geometry); values from VASP
! - Energy of formation: 1913 meV/atom
! - Distance to the lowest polymorph of the same formula: 490 meV per atom
! - N(E_F): 1.169 states/eV/atom
! - Space-group type: Pm-3m (221)
&SYSTEM
  ibrav = 0, nat = 5, ntyp = 3
/
ATOMIC_SPECIES
Na 22.99 Na.upf
V 50.94 V.upf
Bi 208.98 Bi.upf
CELL_PARAMETERS angstrom
4.555 0.000 0.000
0.000 4.555 0.000
0.000 0.000 4.555
ATOMIC_POSITIONS angstrom
Na 0.000 0.000 0.000
V 0.000 0.000 2.277
V 0.000 2.277 0.000
V 2.277 0.000 0.000
Bi 2.277 2.277 2.277

***

Record 15
! Pa2ReH (GGA-PBE, optimized geometry); values from VASP
! - Distance to the lowest polymorph of the same formula: 0 meV per atom
! - N(E_F): 1.548 states/eV/atom
! - Space-group type: P4/mmm (123)
&SYSTEM
  ibrav = 0, nat = 4, ntyp = 3
/
ATOMIC_SPECIES
Pa 231.04 Pa.upf
Re 186.21 Re.upf
H 1.01 H.upf
CELL_PARAMETERS angstrom
3.203 0.000 0.000
0.000 3.203 0.000
0.000 0.000 6.670
ATOMIC_POSITIONS angstrom
Pa 0.000 0.000 1.455
Pa 0.000 0.000 5.214
Re 1.601 1.601 3.335
H 1.601 1.601 0.000

***

Record 16
! FeTeMo2 (GGA-PBE, optimized geometry); values from VASP
! - Distance to the lowest polymorph of the same formula: 72 meV per atom
! - N(E_F): 1.032 states/eV/atom
! - Space-group type: C2/m (12)
! - Formation energy from raw total energies: 0.39 eV per atom
&SYSTEM
  ibrav = 0, nat = 4, ntyp = 3
/
ATOMIC_SPECIES
Fe 55.84 Fe.upf
Te 127.60 Te.upf
Mo 95.94 Mo.upf
CELL_PARAMETERS angstrom
4.682 -1.602 0.000
4.682 1.602 0.000
-0.950 0.000 4.295
ATOMIC_POSITIONS angstrom
Fe 0.000 0.000 0.000
Te 4.207 0.000 2.147
Mo 1.653 0.000 3.328
Mo 6.760 0.000 0.967

***

Record 17
! K2TaSi (GGA-PBE, optimized geometry); values from VASP
! - N(E_F): 0.681 states/eV/atom
! - Space-group type: Cmmm (65)
! - Formation energy from raw total energies: 1.02 eV per atom
&SYSTEM
  ibrav = 0, nat = 4, ntyp = 3
/
ATOMIC_SPECIES
K 39.10 K.upf
Ta 180.95 Ta.upf
Si 28.09 Si.upf
CELL_PARAMETERS angstrom
1.700 -2.350 0.000
1.700 2.350 0.000
0.000 0.000 12.210
ATOMIC_POSITIONS angstrom
K 0.000 0.000 2.799
K 0.000 0.000 9.410
Ta 1.700 0.000 6.105
Si 1.700 0.000 0.000

***

Record 18
! Lu5Bi (GGA-PBE, optimized geometry); values from VASP
! - Energy of formation: -198 meV/atom
! - N(E_F): 1.162 states/eV/atom
! - Space-group type: Cmmm (65)
&SYSTEM
  ibrav = 0, nat = 6, ntyp = 2
/
ATOMIC_SPECIES
Lu 174.97 Lu.upf
Bi 208.98 Bi.upf
CELL_PARAMETERS angstrom
2.386 -7.380 0.000
2.386 7.380 0.000
0.000 0.000 4.836
ATOMIC_POSITIONS angstrom
Lu 0.000 0.000 0.000
Lu 2.386 4.941 2.418
Lu 2.386 2.570 0.000
Lu 2.386 -2.570 0.000
Lu 2.386 -4.941 2.418
Bi 2.386 0.000 2.418

***

Record 19
! AlPtF3 (GGA-PBE, optimized geometry); values from VASP
! - Distance to the lowest polymorph of the same formula: 0 meV per atom
! - N(E_F): 0.900 states/eV/atom
! - Space-group type: Pm-3m (221)
! - Formation energy from raw total energies: -1.54 eV per atom
&SYSTEM
  ibrav = 0, nat = 5, ntyp = 3
/
ATOMIC_SPECIES
Al 26.98 Al.upf
Pt 195.08 Pt.upf
F 19.00 F.upf
CELL_PARAMETERS angstrom
3.885 0.000 0.000
0.000 3.885 0.000
0.000 0.000 3.885
ATOMIC_POSITIONS angstrom
Al 0.000 0.000 0.000
Pt 1.942 1.942 1.942
F 0.000 0.000 1.942
F 0.000 1.942 0.000
F 1.942 0.000 0.000

***

no.,volume (Å³ per atom),spin magnetization (μB/cell)
1,31.285,0.000
2,28.032,0.821
3,24.169,0.000
4,33.042,2.554
5,20.109,0.000
6,22.240,0.000
7,28.040,0.000
8,31.373,0.000
9,27.086,0.930
10,29.917,0.000
11,25.202,1.551
12,25.879,0.000
13,23.758,0.000
14,18.898,0.280
15,17.103,0.001
16,16.102,1.056
17,24.390,0.000
18,28.381,0.042
19,11.727,0.212